[1]
VASP calculation (PBE-GGA) on a relaxed structure of Sm4YTm8.

- E (eV/cell) = -163.1

Geometry as CIF:
```
data_Sm4YTm8
_symmetry_space_group_name_H-M 'R -3 m'
_symmetry_Int_Tables_number 166
_symmetry_space_group_name_Hall '-R 3 2"'
_cell_length_a 10.9219
_cell_length_b 10.9219
_cell_length_c 13.3909
_cell_angle_alpha 90.00
_cell_angle_beta 90.00
_cell_angle_gamma 120.00
loop_
_atom_site_label
_atom_site_type_symbol
_atom_site_fract_x
_atom_site_fract_y
_atom_site_fract_z
Sm1 Sm 0.0000 0.0000 0.0000
Sm2 Sm 0.0000 0.5000 0.0000
Y1 Y 0.0000 0.0000 0.5000
Tm1 Tm 0.0000 0.0000 0.2401
Tm2 Tm 0.0133 0.5066 0.7469
```

[2]
VASP calculation (PBE-GGA) on a relaxed structure of Sm5Y3Tm3.

- E (eV/cell) = -52.8

Geometry as CIF:
```
data_Sm5Y3Tm3
_symmetry_space_group_name_H-M 'P -6 2 m'
_symmetry_Int_Tables_number 189
_symmetry_space_group_name_Hall 'P -6 -2'
_cell_length_a 11.1974
_cell_length_b 11.1974
_cell_length_c 3.4532
_cell_angle_alpha 90.00
_cell_angle_beta 90.00
_cell_angle_gamma 120.00
loop_
_atom_site_label
_atom_site_type_symbol
_atom_site_fract_x
_atom_site_fract_y
_atom_site_fract_z
Sm1 Sm 0.0000 0.6623 0.0000
Sm2 Sm 0.3333 0.6667 0.0000
Y1 Y 0.0000 0.4045 0.5000
Tm1 Tm 0.0000 0.1585 0.0000
```

[3]
VASP calculation (PBE-GGA) on a relaxed structure of Sm2Y12Tm5.

- E (eV/cell) = -213.7

Geometry as CIF:
```
data_Sm2Y12Tm5
_symmetry_space_group_name_H-M 'C 1 2/m 1'
_symmetry_Int_Tables_number 12
_symmetry_space_group_name_Hall '-C 2y'
_cell_length_a 15.650
_cell_length_b 9.280
_cell_length_c 8.535
_cell_angle_alpha 90.00
_cell_angle_beta 91.00
_cell_angle_gamma 90.00
loop_
_atom_site_label
_atom_site_type_symbol
_atom_site_fract_x
_atom_site_fract_y
_atom_site_fract_z
Sm1 Sm 0.000 0.179 0.000
Y1 Y 0.058 0.000 0.329
Y2 Y 0.090 0.500 0.880
Y3 Y 0.127 0.192 0.655
Y4 Y 0.155 0.319 0.241
Tm1 Tm 0.000 0.500 0.500
Tm2 Tm 0.198 0.000 0.011
Tm3 Tm 0.232 0.500 0.575
```

[4]
VASP calculation (PBE-GGA) on a relaxed structure of Sm8YTm2.

- E (eV/cell) = -102.5

Geometry as CIF:
```
data_Sm8YTm2
_symmetry_space_group_name_H-M 'C 1 2/m 1'
_symmetry_Int_Tables_number 12
_symmetry_space_group_name_Hall '-C 2y'
_cell_length_a 16.729
_cell_length_b 6.731
_cell_length_c 6.664
_cell_angle_alpha 90.00
_cell_angle_beta 99.92
_cell_angle_gamma 90.00
loop_
_atom_site_label
_atom_site_type_symbol
_atom_site_fract_x
_atom_site_fract_y
_atom_site_fract_z
Sm1 Sm 0.088 0.238 0.407
Sm2 Sm 0.093 0.000 0.911
Sm3 Sm 0.244 0.500 0.318
Y1 Y 0.000 0.500 0.000
Tm1 Tm 0.200 0.500 0.805
```

[5]
VASP calculation (PBE-GGA) on a relaxed structure of SmYTm14.

- E (eV/cell) = -145.6

Geometry as CIF:
```
data_SmYTm14
_symmetry_space_group_name_H-M 'A m m 2'
_symmetry_Int_Tables_number 38
_symmetry_space_group_name_Hall 'A 2 -2'
_cell_length_a 10.955
_cell_length_b 8.094
_cell_length_c 11.059
_cell_angle_alpha 90.00
_cell_angle_beta 90.00
_cell_angle_gamma 90.00
loop_
_atom_site_label
_atom_site_type_symbol
_atom_site_fract_x
_atom_site_fract_y
_atom_site_fract_z
Sm1 Sm 0.000 0.000 0.000
Y1 Y 0.000 0.000 0.552
Tm1 Tm 0.000 0.204 0.275
Tm2 Tm 0.233 0.000 0.761
Tm3 Tm 0.253 0.209 0.482
Tm4 Tm 0.270 0.000 0.205
Tm5 Tm 0.500 0.000 0.413
Tm6 Tm 0.500 0.000 0.965
Tm7 Tm 0.500 0.204 0.693
```

[6]
VASP calculation (PBE-GGA) on a relaxed structure of Sm3Y3Tm5.

- E (eV/cell) = -46.9

Geometry as CIF:
```
data_Sm3Y3Tm5
_symmetry_space_group_name_H-M 'P -6 2 m'
_symmetry_Int_Tables_number 189
_symmetry_space_group_name_Hall 'P -6 -2'
_cell_length_a 9.5854
_cell_length_b 9.5854
_cell_length_c 5.5227
_cell_angle_alpha 90.00
_cell_angle_beta 90.00
_cell_angle_gamma 120.00
loop_
_atom_site_label
_atom_site_type_symbol
_atom_site_fract_x
_atom_site_fract_y
_atom_site_fract_z
Sm1 Sm 0.0000 0.3672 0.0000
Y1 Y 0.0000 0.5508 0.5000
Tm1 Tm 0.0000 0.7306 0.0000
Tm2 Tm 0.3333 0.6667 0.0000
```

[7]
VASP calculation (PBE-GGA) on a relaxed structure of Sm4Y5Tm.

- E (eV/cell) = -107.6

Geometry as CIF:
```
data_Sm4Y5Tm
_symmetry_space_group_name_H-M 'C 1 2/m 1'
_symmetry_Int_Tables_number 12
_symmetry_space_group_name_Hall '-C 2y'
_cell_length_a 17.327
_cell_length_b 3.545
_cell_length_c 11.065
_cell_angle_alpha 90.00
_cell_angle_beta 90.23
_cell_angle_gamma 90.00
loop_
_atom_site_label
_atom_site_type_symbol
_atom_site_fract_x
_atom_site_fract_y
_atom_site_fract_z
Sm1 Sm 0.028 0.000 0.248
Sm2 Sm 0.153 0.500 0.750
Y1 Y 0.000 0.500 0.500
Y2 Y 0.173 0.000 0.056
Y3 Y 0.175 0.000 0.441
Tm1 Tm 0.000 0.500 0.000
```

[8]
VASP calculation (PBE-GGA) on a relaxed structure of Sm2Y3Tm8.

- E (eV/cell) = -61.3

Geometry as CIF:
```
data_Sm2Y3Tm8
_symmetry_space_group_name_H-M 'P 1 2/m 1'
_symmetry_Int_Tables_number 10
_symmetry_space_group_name_Hall '-P 2y'
_cell_length_a 7.530
_cell_length_b 5.514
_cell_length_c 10.947
_cell_angle_alpha 90.00
_cell_angle_beta 110.11
_cell_angle_gamma 90.00
loop_
_atom_site_label
_atom_site_type_symbol
_atom_site_fract_x
_atom_site_fract_y
_atom_site_fract_z
Sm1 Sm 0.241 0.000 0.482
Y1 Y 0.000 0.000 0.000
Y2 Y 0.285 0.500 0.000
Tm1 Tm 0.131 0.500 0.262
Tm2 Tm 0.177 0.000 0.782
Tm3 Tm 0.337 0.500 0.674
Tm4 Tm 0.395 0.000 0.218
```

[9]
VASP calculation (PBE-GGA) on a relaxed structure of Sm8YTm2.

- E (eV/cell) = -101.5

Geometry as CIF:
```
data_Sm8YTm2
_symmetry_space_group_name_H-M 'C 1 2/m 1'
_symmetry_Int_Tables_number 12
_symmetry_space_group_name_Hall '-C 2y'
_cell_length_a 14.253
_cell_length_b 6.724
_cell_length_c 8.559
_cell_angle_alpha 90.00
_cell_angle_beta 114.34
_cell_angle_gamma 90.00
loop_
_atom_site_label
_atom_site_type_symbol
_atom_site_fract_x
_atom_site_fract_y
_atom_site_fract_z
Sm1 Sm 0.092 0.242 0.384
Sm2 Sm 0.108 0.000 0.993
Sm3 Sm 0.241 0.000 0.775
Y1 Y 0.000 0.500 0.000
Tm1 Tm 0.144 0.500 0.759
```

[10]
VASP calculation (PBE-GGA) on a relaxed structure of Sm3Y7Tm.

- E (eV/cell) = -61.8

Geometry as CIF:
```
data_Sm3Y7Tm
_symmetry_space_group_name_H-M 'P 3 m 1'
_symmetry_Int_Tables_number 156
_symmetry_space_group_name_Hall 'P 3 -2"'
_cell_length_a 7.1016
_cell_length_b 7.1016
_cell_length_c 8.6484
_cell_angle_alpha 90.00
_cell_angle_beta 90.00
_cell_angle_gamma 120.00
loop_
_atom_site_label
_atom_site_type_symbol
_atom_site_fract_x
_atom_site_fract_y
_atom_site_fract_z
Sm1 Sm 0.0008 0.5004 0.0000
Y1 Y 0.1678 0.3356 0.6630
Y2 Y 0.3349 0.1675 0.3340
Y3 Y 0.6667 0.3333 0.6626
Tm1 Tm 0.3333 0.6667 0.3360
```

[11]
VASP calculation (PBE-GGA) on a relaxed structure of Sm2Y7Tm2.

- E (eV/cell) = -123.7

Geometry as CIF:
```
data_Sm2Y7Tm2
_symmetry_space_group_name_H-M 'C 1 2/m 1'
_symmetry_Int_Tables_number 12
_symmetry_space_group_name_Hall '-C 2y'
_cell_length_a 11.144
_cell_length_b 11.640
_cell_length_c 6.058
_cell_angle_alpha 90.00
_cell_angle_beta 113.09
_cell_angle_gamma 90.00
loop_
_atom_site_label
_atom_site_type_symbol
_atom_site_fract_x
_atom_site_fract_y
_atom_site_fract_z
Sm1 Sm 0.000 0.211 0.000
Y1 Y 0.000 0.000 0.500
Y2 Y 0.091 0.500 0.306
Y3 Y 0.173 0.239 0.678
Tm1 Tm 0.232 0.000 0.083
```

[12]
VASP calculation (PBE-GGA) on a relaxed structure of Sm6Y5Tm.

- E (eV/cell) = -129.9

Geometry as CIF:
```
data_Sm6Y5Tm
_symmetry_space_group_name_H-M 'C 1 2/m 1'
_symmetry_Int_Tables_number 12
_symmetry_space_group_name_Hall '-C 2y'
_cell_length_a 6.234
_cell_length_b 10.792
_cell_length_c 11.833
_cell_angle_alpha 90.00
_cell_angle_beta 100.07
_cell_angle_gamma 90.00
loop_
_atom_site_label
_atom_site_type_symbol
_atom_site_fract_x
_atom_site_fract_y
_atom_site_fract_z
Sm1 Sm 0.249 0.000 0.251
Sm2 Sm 0.250 0.166 0.749
Y1 Y 0.000 0.167 0.000
Y2 Y 0.000 0.333 0.500
Y3 Y 0.000 0.500 0.000
Tm1 Tm 0.000 0.000 0.500
```

[13]
VASP calculation (PBE-GGA) on a relaxed structure of Sm3Y2Tm3.

- E (eV/cell) = -80.6

Geometry as CIF:
```
data_Sm3Y2Tm3
_symmetry_space_group_name_H-M 'I m m m'
_symmetry_Int_Tables_number 71
_symmetry_space_group_name_Hall '-I 2 2'
_cell_length_a 5.022
_cell_length_b 5.045
_cell_length_c 20.188
_cell_angle_alpha 90.00
_cell_angle_beta 90.00
_cell_angle_gamma 90.00
loop_
_atom_site_label
_atom_site_type_symbol
_atom_site_fract_x
_atom_site_fract_y
_atom_site_fract_z
Sm1 Sm 0.000 0.000 0.000
Sm2 Sm 0.000 0.500 0.124
Y1 Y 0.000 0.000 0.249
Tm1 Tm 0.000 0.000 0.500
Tm2 Tm 0.000 0.500 0.375
```

[14]
VASP calculation (PBE-GGA) on a relaxed structure of Sm5YTm2.

- E (eV/cell) = -75.4

Geometry as CIF:
```
data_Sm5YTm2
_symmetry_space_group_name_H-M 'P 1 21/m 1'
_symmetry_Int_Tables_number 11
_symmetry_space_group_name_Hall '-P 2yb'
_cell_length_a 5.730
_cell_length_b 11.407
_cell_length_c 8.593
_cell_angle_alpha 90.00
_cell_angle_beta 106.34
_cell_angle_gamma 90.00
loop_
_atom_site_label
_atom_site_type_symbol
_atom_site_fract_x
_atom_site_fract_y
_atom_site_fract_z
Sm1 Sm 0.161 0.077 0.207
Sm2 Sm 0.265 0.750 0.586
Sm3 Sm 0.304 0.077 0.622
Y1 Y 0.006 0.750 0.155
Tm1 Tm 0.398 0.619 0.970
```

[15]
VASP calculation (PBE-GGA) on a relaxed structure of Sm12Y7Tm.

- E (eV/cell) = -301.5

Geometry as CIF:
```
data_Sm12Y7Tm
_symmetry_space_group_name_H-M 'R -3'
_symmetry_Int_Tables_number 148
_symmetry_space_group_name_Hall '-R 3'
_cell_length_a 18.7868
_cell_length_b 18.7868
_cell_length_c 6.7675
_cell_angle_alpha 90.00
_cell_angle_beta 90.00
_cell_angle_gamma 120.00
loop_
_atom_site_label
_atom_site_type_symbol
_atom_site_fract_x
_atom_site_fract_y
_atom_site_fract_z
Sm1 Sm 0.9996 0.2114 0.2187
Sm2 Sm 0.0053 0.4708 0.2431
Y1 Y 0.0000 0.0000 0.0000
Y2 Y 0.0061 0.8517 0.2771
Tm1 Tm 0.0000 0.0000 0.5000
```

[16]
VASP calculation (PBE-GGA) on a relaxed structure of Sm6YTm.

- E (eV/cell) = -39.1

Geometry as CIF:
```
data_Sm6YTm
_symmetry_space_group_name_H-M 'P 4/m m m'
_symmetry_Int_Tables_number 123
_symmetry_space_group_name_Hall '-P 4 2'
_cell_length_a 5.097
_cell_length_b 5.097
_cell_length_c 10.185
_cell_angle_alpha 90.00
_cell_angle_beta 90.00
_cell_angle_gamma 90.00
loop_
_atom_site_label
_atom_site_type_symbol
_atom_site_fract_x
_atom_site_fract_y
_atom_site_fract_z
Sm1 Sm 0.000 0.000 0.000
Sm2 Sm 0.000 0.000 0.500
Sm3 Sm 0.000 0.500 0.248
Y1 Y 0.500 0.500 0.500
Tm1 Tm 0.500 0.500 0.000
```

[17]
VASP calculation (PBE-GGA) on a relaxed structure of Sm5YTm4.

- E (eV/cell) = -89.8

Geometry as CIF:
```
data_Sm5YTm4
_symmetry_space_group_name_H-M 'I 4'
_symmetry_Int_Tables_number 79
_symmetry_space_group_name_Hall 'I 4'
_cell_length_a 10.204
_cell_length_b 10.204
_cell_length_c 6.306
_cell_angle_alpha 90.00
_cell_angle_beta 90.00
_cell_angle_gamma 90.00
loop_
_atom_site_label
_atom_site_type_symbol
_atom_site_fract_x
_atom_site_fract_y
_atom_site_fract_z
Sm1 Sm 0.000 0.000 0.000
Sm2 Sm 0.146 0.235 0.733
Y1 Y 0.000 0.000 0.458
Tm1 Tm 0.049 0.348 0.234
```

[18]
VASP calculation (PBE-GGA) on a relaxed structure of Sm3Y8Tm3.

- E (eV/cell) = -155.3

Geometry as CIF:
```
data_Sm3Y8Tm3
_symmetry_space_group_name_H-M 'I m m m'
_symmetry_Int_Tables_number 71
_symmetry_space_group_name_Hall '-I 2 2'
_cell_length_a 5.654
_cell_length_b 10.803
_cell_length_c 14.981
_cell_angle_alpha 90.00
_cell_angle_beta 90.00
_cell_angle_gamma 90.00
loop_
_atom_site_label
_atom_site_type_symbol
_atom_site_fract_x
_atom_site_fract_y
_atom_site_fract_z
Sm1 Sm 0.000 0.000 0.000
Sm2 Sm 0.000 0.500 0.320
Y1 Y 0.000 0.159 0.279
Y2 Y 0.000 0.342 0.103
Tm1 Tm 0.000 0.000 0.500
Tm2 Tm 0.000 0.297 0.500
```

[19]
VASP calculation (PBE-GGA) on a relaxed structure of SmY4Tm3.

- E (eV/cell) = -87.9

Geometry as CIF:
```
data_SmY4Tm3
_symmetry_space_group_name_H-M 'P m n 21'
_symmetry_Int_Tables_number 31
_symmetry_space_group_name_Hall 'P 2ac -2'
_cell_length_a 11.234
_cell_length_b 7.263
_cell_length_c 6.270
_cell_angle_alpha 90.00
_cell_angle_beta 90.00
_cell_angle_gamma 90.00
loop_
_atom_site_label
_atom_site_type_symbol
_atom_site_fract_x
_atom_site_fract_y
_atom_site_fract_z
Sm1 Sm 0.000 0.123 0.000
Y1 Y 0.000 0.373 0.497
Y2 Y 0.000 0.627 0.995
Y3 Y 0.248 0.626 0.333
Tm1 Tm 0.000 0.877 0.499
Tm2 Tm 0.250 0.123 0.330
```